# PBE Cs2Sr5Sb3O2, relaxed
data_Cs2Sr5Sb3O2
_chemical_formula_sum 'Cs4 Sr10 Sb6 O4'
_space_group_name_H-M_alt 'I 4/m m m'
_space_group_IT_number 139
_space_group_name_Hall '-I 4 2'
_cell_length_a 5.114
_cell_length_b 5.114
_cell_length_c 31.415
_cell_angle_alpha 90.00
_cell_angle_beta 90.00
_cell_angle_gamma 90.00
loop_
_atom_site_label
_atom_site_type_symbol
_atom_site_fract_x
_atom_site_fract_y
_atom_site_fract_z
Cs1 Cs 0.000 0.000 0.208
Sr1 Sr 0.000 0.000 0.000
Sr2 Sr 0.000 0.500 0.090
Sb1 Sb 0.000 0.000 0.340
Sb2 Sb 0.000 0.000 0.500
O1 O 0.000 0.000 0.078
# **Energy relative to the elements, uncorrected**: -1.43 eV per atom
# **DOS(E_F)**: 16.678 states/eV per cell
# **E_tot**: -0.1517 hartree per atom